# 1
Sm4Se3Cl | PBE-GGA | optimized geometry

Output
spin magnetization	0.00	μB per cell
calculated density	7.210	g/cm³

POSCAR file:
```
Sm4Se3Cl
1.0
2.1037 1.2145 13.1270
-2.1037 1.2145 13.1270
0.0000 -2.4291 13.1270
Sm Se Cl
4 3 1
Cartesian
0.0000 0.0000 4.8230
0.0000 0.0000 14.7800
0.0000 0.0000 24.6011
0.0000 0.0000 34.5581
0.0000 0.0000 9.9196
0.0000 0.0000 19.6906
0.0000 0.0000 29.4616
0.0000 0.0000 0.0000
```

# 2
Sm3TlSeCl | PBE-GGA | optimized geometry

Output
spin magnetization	0.00	μB per cell
calculated density	7.249	g/cm³

POSCAR file:
```
Sm3TlSeCl
1.0
8.9862 0.0000 0.0000
0.0000 4.0194 0.0000
-2.8179 0.0000 9.7648
Sm Tl Se Cl
6 2 2 2
Cartesian
0.8922 1.0049 1.5874
0.4201 3.0146 8.8298
1.5740 3.0146 4.9910
4.5944 1.0049 4.7737
5.7482 1.0049 0.9350
5.2762 3.0146 8.1774
3.4256 3.0146 2.3513
2.7428 1.0049 7.4135
-1.6057 1.0049 8.4226
7.7741 3.0146 1.3422
-0.1725 1.0049 4.2504
6.3409 3.0146 5.5144
```

# 3
Sm4ZnSe2Cl | PBE-GGA | optimized geometry

Output
spin magnetization	0.00	μB per cell
calculated density	6.974	g/cm³

POSCAR file:
```
Sm4ZnSe2Cl
1.0
7.2574 0.0000 0.0000
0.0000 4.0806 0.0000
-2.2703 0.0000 6.9160
Sm Zn Se Cl
4 1 2 1
Cartesian
1.1591 0.0000 1.6871
0.0853 2.0403 5.1739
4.9018 2.0403 1.7421
3.8280 0.0000 5.2289
-1.1352 0.0000 3.4580
0.0000 2.0403 0.0000
3.6287 0.0000 0.0000
2.4935 2.0403 3.4580
```

# 4
Sm3ZnSeCl | PBE-GGA | optimized geometry

Output
spin magnetization	0.00	μB per cell
calculated density	6.606	g/cm³

POSCAR file:
```
Sm3ZnSeCl
1.0
7.5236 0.0000 0.0000
0.0000 3.9438 0.0000
-2.6432 0.0000 10.6894
Sm Zn Se Cl
6 2 2 2
Cartesian
-0.0786 0.9859 1.7935
0.2752 2.9578 5.3278
1.0717 2.9578 9.0024
3.8087 0.9859 1.6870
4.6052 0.9859 5.3616
4.9589 2.9578 8.8958
-0.7405 0.9859 7.4263
5.6209 2.9578 3.2631
1.8398 2.9578 0.6120
3.0406 0.9859 10.0774
1.9132 0.9859 3.9405
2.9672 2.9578 6.7488
```

# 5
Sn2SeCl | PBE-GGA | optimized geometry

Output
spin magnetization	0.00	μB per cell
energy relative to the lowest polymorph listed for this composition	2	kJ/mol of formula units
calculated density	5.295	g/cm³

POSCAR file:
```
Sn2SeCl
1.0
1.9303 1.1144 8.5479
-1.9303 1.1144 8.5479
0.0000 -2.2289 8.5479
Sn Se Cl
2 1 1
Cartesian
0.0000 0.0000 0.0000
0.0000 0.0000 4.5914
0.0000 0.0000 15.1253
0.0000 0.0000 10.6468
```

# 6
Sn6Se5Cl | PBE-GGA | optimized geometry

Output
spin magnetization	0.00	μB per cell
calculated density	5.590	g/cm³

POSCAR file:
```
Sn6Se5Cl
1.0
3.6645 -6.6675 0.0000
3.6645 6.6675 0.0000
-2.6890 0.0000 6.9454
Sn Se Cl
6 5 1
Cartesian
-0.2301 2.3115 5.1713
1.0509 0.0000 1.7610
-0.2301 -2.3115 5.1713
4.8702 2.3115 1.7741
3.5891 0.0000 5.1844
4.8702 -2.3115 1.7741
-1.3445 0.0000 3.4727
3.6645 4.4957 0.0000
2.3200 2.2817 3.4727
2.3200 -2.2817 3.4727
3.6645 -4.4957 0.0000
3.6645 0.0000 0.0000
```

# 7
Sn2SeCl | PBE-GGA | optimized geometry

Output
spin magnetization	0.00	μB per cell
energy relative to the lowest polymorph listed for this composition	35	kJ/mol of formula units
calculated density	5.898	g/cm³

POSCAR file:
```
Sn2SeCl
1.0
0.0000 3.6723 3.6723
3.6723 0.0000 3.6723
3.6723 3.6723 0.0000
Sn Se Cl
2 1 1
Cartesian
1.8362 1.8362 1.8362
5.5085 5.5085 5.5085
0.0000 0.0000 0.0000
3.6723 3.6723 3.6723
```

# 8
SnSe2Cl | PBE-GGA | optimized geometry

Output
spin magnetization	0.00	μB per cell
energy relative to the lowest polymorph listed for this composition	197	kJ/mol of formula units
calculated density	5.520	g/cm³

POSCAR file:
```
SnSe2Cl
1.0
1.5411 0.8898 11.4116
-1.5411 0.8898 11.4116
0.0000 -1.7795 11.4116
Sn Se Cl
1 2 1
Cartesian
0.0000 0.0000 0.0000
0.0000 0.0000 2.7185
0.0000 0.0000 31.5162
0.0000 0.0000 17.1173
```

# 9
Sn3SeCl | PBE-GGA | optimized geometry

Output
spin magnetization	0.00	μB per cell
energy relative to the lowest polymorph listed for this composition	122	kJ/mol of formula units
calculated density	4.840	g/cm³

POSCAR file:
```
Sn3SeCl
1.0
5.4449 0.0000 0.0000
0.0000 5.4449 0.0000
0.0000 0.0000 5.4449
Sn Se Cl
3 1 1
Cartesian
0.0000 0.0000 2.7225
0.0000 2.7225 0.0000
2.7225 0.0000 0.0000
2.7225 2.7225 2.7225
0.0000 0.0000 0.0000
```

# 10
Sn2Se2Cl | PBE-GGA | optimized geometry

Output
spin magnetization	0.00	μB per cell
energy relative to the lowest polymorph listed for this composition	3	kJ/mol of formula units
calculated density	4.945	g/cm³

POSCAR file:
```
Sn2Se2Cl
1.0
-2.0734 2.8503 6.1196
2.0734 -2.8503 6.1196
2.0734 2.8503 -6.1196
Sn Se Cl
2 2 1
Cartesian
0.0000 0.0000 2.2129
0.0000 0.0000 10.0262
2.0734 0.0000 4.1715
0.0000 2.8503 1.9481
2.0734 0.0000 0.0000
```

# 11
Sn2SeCl | PBE-GGA | optimized geometry

Output
spin magnetization	0.00	μB per cell
energy relative to the lowest polymorph listed for this composition	2	kJ/mol of formula units
calculated density	5.248	g/cm³

POSCAR file:
```
Sn2SeCl
1.0
4.7972 -7.7964 0.0000
4.7972 7.7964 0.0000
-3.3468 0.0000 5.9532
Sn Se Cl
8 4 4
Cartesian
1.3654 2.9313 1.5651
-0.1102 0.9907 4.3618
1.5632 -0.9907 1.3852
-0.3080 -2.9313 4.5417
6.5555 2.9313 1.4115
4.6842 0.9907 4.5681
6.3576 -0.9907 1.5914
4.8821 -2.9313 4.3882
2.2870 6.7872 4.4649
2.2870 2.9702 4.4649
3.9604 -2.9702 1.4883
3.9604 -6.7872 1.4883
3.9604 5.0186 1.4883
3.9604 0.7935 1.4883
2.2870 -0.7935 4.4649
2.2870 -5.0186 4.4649
```

# 12
SnSe2Cl | PBE-GGA | optimized geometry

Output
spin magnetization	0.00	μB per cell
energy relative to the lowest polymorph listed for this composition	144	kJ/mol of formula units
calculated density	5.927	g/cm³

POSCAR file:
```
SnSe2Cl
1.0
0.0000 3.5227 3.5227
3.5227 0.0000 3.5227
3.5227 3.5227 0.0000
Sn Se Cl
1 2 1
Cartesian
0.0000 0.0000 0.0000
1.7613 1.7613 1.7613
5.2840 5.2840 5.2840
3.5227 3.5227 3.5227
```

# 13
SnSe2Cl5 | PBE-GGA | optimized geometry

Output
spin magnetization	1.00	μB per cell
calculated density	2.156	g/cm³

POSCAR file:
```
SnSe2Cl5
1.0
6.3326 0.0000 0.0000
2.7765 6.4492 0.0000
0.9698 0.5363 8.5612
Sn Se Cl
1 2 5
Cartesian
0.0000 0.0000 0.0000
2.9768 3.0493 3.7438
4.9800 3.8376 4.1898
1.2866 1.9256 0.1247
2.7155 0.9693 4.6177
5.1015 5.1436 8.1771
5.7233 0.7390 6.8854
8.0149 6.1570 2.0303
```

# 14
SnSeCl | PBE-GGA | optimized geometry

Output
spin magnetization	0.00	μB per cell
calculated density	4.735	g/cm³

POSCAR file:
```
SnSeCl
1.0
0.0000 3.4448 3.4448
3.4448 0.0000 3.4448
3.4448 3.4448 0.0000
Sn Se Cl
1 1 1
Cartesian
0.0000 0.0000 0.0000
1.7224 1.7224 1.7224
5.1673 5.1673 5.1673
```

# 15
SnSe2Cl | PBE-GGA | optimized geometry

Output
spin magnetization	1.96	μB per cell
energy relative to the lowest polymorph listed for this composition	60	kJ/mol of formula units
calculated density	4.303	g/cm³

POSCAR file:
```
SnSe2Cl
1.0
-3.6758 3.6758 4.4564
3.6758 -3.6758 4.4564
3.6758 3.6758 -4.4564
Sn Se Cl
2 4 2
Cartesian
0.0000 0.0000 0.0000
0.0000 3.6758 2.2282
1.8379 1.5116 -1.1141
2.1642 -1.8379 5.5705
1.8379 2.1642 3.3423
1.5116 5.5137 1.1141
3.6758 0.0000 2.2282
0.0000 0.0000 4.4564
```

# 16
Sn3SeCl | PBE-GGA | optimized geometry

Output
spin magnetization	0.00	μB per cell
energy relative to the lowest polymorph listed for this composition	0	kJ/mol of formula units
calculated density	4.321	g/cm³

POSCAR file:
```
Sn3SeCl
1.0
5.6550 0.0000 0.0000
0.0000 5.6550 0.0000
0.0000 0.0000 5.6550
Sn Se Cl
3 1 1
Cartesian
0.0000 0.0000 2.8275
0.0000 2.8275 0.0000
2.8275 0.0000 0.0000
0.0000 0.0000 0.0000
2.8275 2.8275 2.8275
```

# 17
Sn3Se3Cl | PBE-GGA | optimized geometry

Output
spin magnetization	0.00	μB per cell
calculated density	5.137	g/cm³

POSCAR file:
```
Sn3Se3Cl
1.0
8.3427 0.0000 0.0000
0.0000 5.8358 0.0000
-0.1729 0.0000 8.3459
Sn Se Cl
6 6 2
Cartesian
0.8740 1.4590 3.0783
3.1020 4.3769 0.9853
3.0951 4.3769 5.1464
5.0747 1.4590 3.1995
5.0677 1.4590 7.3607
7.2958 4.3769 5.2677
0.9554 4.3769 3.1258
3.0953 1.4590 1.0145
3.0158 1.4590 5.2270
5.1539 4.3769 3.1189
5.0744 4.3769 7.3314
7.2143 1.4590 5.2202
0.9933 4.3769 7.1808
7.1765 1.4590 1.1652
```

# 18
SnSeCl | PBE-GGA | optimized geometry

Output
spin magnetization	0.00	μB per cell
calculated density	5.539	g/cm³

POSCAR file:
```
SnSeCl
1.0
5.0536 0.0000 0.0000
-2.5268 4.3766 0.0000
0.0000 0.0000 3.1598
Sn Se Cl
1 1 1
Cartesian
0.0000 0.0000 0.0000
0.0000 2.9177 2.5348
2.5268 1.4589 0.9261
```

# 19
Sn5Se5Cl | PBE-GGA | optimized geometry

Output
spin magnetization	0.00	μB per cell
calculated density	5.293	g/cm³

POSCAR file:
```
Sn5Se5Cl
1.0
6.6311 -2.9656 0.0000
6.6311 2.9656 0.0000
-2.7404 0.0000 8.1667
Sn Se Cl
5 5 1
Cartesian
0.0000 0.0000 0.0000
3.8226 0.0000 1.4685
2.6728 0.0000 5.2358
7.8490 0.0000 2.9309
6.6992 0.0000 6.6982
1.3027 0.0000 2.7088
-0.0390 0.0000 6.9303
5.2609 0.0000 4.0834
10.5608 0.0000 1.2364
9.2191 0.0000 5.4579
6.6311 0.0000 0.0000
```

# 20
Sn5Se12Cl3 | PBE-GGA | optimized geometry

Output
spin magnetization	0.00	μB per cell
calculated density	4.181	g/cm³

POSCAR file:
```
Sn5Se12Cl3
1.0
-8.6814 8.6814 8.6814
8.6814 -8.6814 8.6814
8.6814 8.6814 -8.6814
Sn Se Cl
20 48 12
Cartesian
0.0000 0.0000 0.0000
4.3407 4.3407 -4.3407
4.3407 -4.3407 4.3407
8.6814 0.0000 0.0000
13.0221 2.1703 0.0000
8.6814 -4.3407 6.5110
6.5110 8.6814 -4.3407
6.5110 0.0000 4.3407
4.3407 6.5110 0.0000
8.6814 4.3407 2.1703
-4.3407 4.3407 4.3407
0.0000 8.6814 0.0000
0.0000 0.0000 8.6814
4.3407 4.3407 4.3407
0.0000 4.3407 6.5110
4.3407 2.1703 8.6814
2.1703 8.6814 4.3407
2.1703 0.0000 13.0221
0.0000 13.0221 2.1703
-4.3407 6.5110 8.6814
2.3615 -1.1210 1.5348
10.6606 5.8755 -5.4617
7.5604 -1.5348 2.3615
14.1430 -1.9792 2.8059
1.5348 2.3615 -1.1210
11.4873 3.2197 -1.9792
11.0429 1.1210 1.5348
10.6606 -2.8059 5.4617
5.8755 5.4617 -1.9792
7.1466 2.3615 1.1210
-1.1210 1.5348 2.3615
5.4617 -1.9792 5.8755
7.5604 7.1466 -2.3615
5.4617 1.9792 2.8059
7.1466 -2.3615 7.5604
5.8755 -5.4617 10.6606
2.3615 7.5604 -1.5348
10.6606 2.8059 3.2197
2.8059 5.4617 1.9792
10.2162 6.3199 1.1210
5.4617 10.6606 -2.8059
7.5604 1.5348 6.3199
1.9792 2.8059 5.4617
2.3615 1.1210 7.1466
6.3199 7.5604 1.5348
6.7022 5.8755 3.2197
1.1210 7.1466 2.3615
3.2197 -1.9792 11.4873
-1.5348 2.3615 7.5604
5.8755 3.2197 6.7022
-1.9792 5.8755 5.4617
6.3199 1.1210 10.2162
2.8059 14.1430 -1.9792
1.5348 11.0429 1.1210
3.2197 6.7022 5.8755
1.1210 1.5348 11.0429
3.2197 10.6606 2.8059
9.8023 7.1466 6.3199
1.5348 6.3199 7.5604
2.8059 3.2197 10.6606
-1.9792 11.4873 3.2197
-2.3615 7.5604 7.1466
-2.8059 5.4617 10.6606
7.1466 6.3199 9.8023
-5.4617 10.6606 5.8755
1.1210 10.2162 6.3199
-1.9792 2.8059 14.1430
6.3199 9.8023 7.1466
4.3407 2.1703 0.0000
8.6814 4.3407 -2.1703
2.1703 0.0000 4.3407
10.8517 0.0000 4.3407
0.0000 4.3407 2.1703
4.3407 -2.1703 8.6814
4.3407 10.8517 0.0000
8.6814 4.3407 6.5110
-2.1703 8.6814 4.3407
6.5110 8.6814 4.3407
0.0000 4.3407 10.8517
4.3407 6.5110 8.6814
```

# 21
Sn2Se2Cl | PBE-GGA | optimized geometry

Output
spin magnetization	0.00	μB per cell
energy relative to the lowest polymorph listed for this composition	0	kJ/mol of formula units
calculated density	4.883	g/cm³

POSCAR file:
```
Sn2Se2Cl
1.0
5.7808 0.0000 0.0000
0.0000 4.1184 0.0000
-0.0451 0.0000 12.3070
Sn Se Cl
4 4 2
Cartesian
1.4202 1.0296 2.8128
1.4255 1.0296 7.3781
4.3103 3.0888 4.9289
4.3156 3.0888 9.4942
1.4205 3.0888 5.0644
1.4249 3.0888 9.3342
4.3109 1.0296 2.9728
4.3153 1.0296 7.2426
1.4211 3.0888 1.0706
4.3147 1.0296 11.2364
```

| no. | E (eV/cell) | raw formation energy (meV per atom) |
| --- | --- | --- |
| 1 | -44.52 | -1667.7 |
| 2 | -58.00 | -1190.8 |
| 3 | -39.60 | -1329.6 |
| 4 | -55.19 | -1138.4 |
| 5 | -15.00 | -416.8 |
| 6 | -48.38 | -424.1 |
| 7 | -14.66 | -331.3 |
| 8 | -11.59 | 306.5 |
| 9 | -14.82 | 503.0 |
| 10 | -19.46 | -527.9 |
| 11 | -60.05 | -418.7 |
| 12 | -12.14 | 169.1 |
| 13 | -24.62 | -552.4 |
| 14 | -10.47 | -378.7 |
| 15 | -26.03 | -49.3 |
| 16 | -16.08 | 251.0 |
| 17 | -55.73 | -507.9 |
| 18 | -9.87 | -178.6 |
| 19 | -44.02 | -430.7 |
| 20 | -273.49 | -50.2 |
| 21 | -38.99 | -534.7 |